Material: BiMoClO4
Method: DFT, PBE with a Hubbard U
State: optimized geometry

a = 6.4829 Å, b = 6.4829 Å, c = 7.2458 Å
α = 75.61°, β = 75.61°, γ = 71.07°
Positions (direct):
Bi1 0.2148 0.2148 0.8588
Bi2 0.7852 0.7852 0.1412
Mo1 0.6387 0.6387 0.7294
Mo2 0.3613 0.3613 0.2706
Cl1 0.0100 0.0100 0.2322
Cl2 0.9900 0.9900 0.7678
O1 0.2935 0.2935 0.5302
O2 0.7065 0.7065 0.4698
O3 0.1120 0.4931 0.1684
O4 0.5374 0.5374 0.2048
O5 0.5069 0.8880 0.8316
O6 0.4931 0.1120 0.1684
O7 0.4626 0.4626 0.7952
O8 0.8880 0.5069 0.8316

Calculated values
Raw total energy = -6.089 eV/atom
Fermi-level density of states = 0.00 states/eV/cell